P.
# Tb2GaTe GGA-PBE optimized geometry
data_Tb2GaTe
_space_group_name_H-M_alt 'C m c m'
_space_group_IT_number 63
_space_group_name_Hall '-C 2c 2'
_cell_length_a 4.3948
_cell_length_b 23.4335
_cell_length_c 4.1737
_cell_angle_alpha 90.00
_cell_angle_beta 90.00
_cell_angle_gamma 90.00
loop_
_atom_site_label
_atom_site_fract_x
_atom_site_fract_y
_atom_site_fract_z
Tb1 0.0000 0.0619 0.2500
Tb2 0.0000 0.3332 0.2500
Ga1 0.0000 0.4621 0.2500
Te1 0.0000 0.1944 0.2500
# - N(E_F) (states/eV/cell) = 11.7

=====

Q.
# Tb2GaTe GGA-PBE optimized geometry
data_Tb2GaTe
_space_group_name_H-M_alt 'R -3 m'
_space_group_IT_number 166
_space_group_name_Hall '-R 3 2"'
_cell_length_a 4.1207
_cell_length_b 4.1207
_cell_length_c 22.7284
_cell_angle_alpha 90.00
_cell_angle_beta 90.00
_cell_angle_gamma 120.00
loop_
_atom_site_label
_atom_site_fract_x
_atom_site_fract_y
_atom_site_fract_z
Tb1 0.0000 0.0000 0.2452
Ga1 0.0000 0.0000 0.5000
Te1 0.0000 0.0000 0.0000
# - N(E_F) (states/eV/cell) = 4.7

=====

Which of them is least stable? Easy: Q.